! SrPmPrTm GGA-PBE relaxed; values from VASP
&SYSTEM
  ibrav = 0, nat = 4, ntyp = 4
/
ATOMIC_SPECIES
Sr 87.62 Sr.upf
Tm 168.93 Tm.upf
Pr 140.91 Pr.upf
Pm 145.00 Pm.upf
ATOMIC_POSITIONS crystal
Sr 0.000 0.000 0.000
Tm 0.500 0.500 0.500
Pr 0.250 0.250 0.250
Pm 0.750 0.750 0.750
CELL_PARAMETERS angstrom
5.944 0.000 0.000
2.972 5.147 0.000
2.972 1.716 4.853
! energy relative to the elements: 209.3 meV per atom

! SrPmPrY GGA-PBE relaxed; values from VASP
&SYSTEM
  ibrav = 0, nat = 4, ntyp = 4
/
ATOMIC_SPECIES
Pm 145.00 Pm.upf
Pr 140.91 Pr.upf
Y 88.91 Y.upf
Sr 87.62 Sr.upf
ATOMIC_POSITIONS crystal
Pm 0.500 0.500 0.500
Pr 0.250 0.250 0.250
Y 0.750 0.750 0.750
Sr 0.000 0.000 0.000
CELL_PARAMETERS angstrom
5.975 0.000 0.000
2.988 5.175 0.000
2.988 1.725 4.879
! energy relative to the elements: 223.1 meV per atom

! Tb2Pm5Pr12 GGA-PBE relaxed; values from VASP
&SYSTEM
  ibrav = 0, nat = 19, ntyp = 3
/
ATOMIC_SPECIES
Tb 158.93 Tb.upf
Pm 145.00 Pm.upf
Pr 140.91 Pr.upf
ATOMIC_POSITIONS crystal
Tb 0.742 0.000 0.000
Pm 0.751 0.510 0.503
Pm 0.000 0.500 0.000
Pr 0.638 0.616 0.788
Pr 0.452 0.303 0.903
Pr 0.547 0.207 0.598
Pr 0.850 0.384 0.212
Pr 0.150 0.616 0.788
Pr 0.362 0.384 0.212
Pr 0.548 0.697 0.097
Pm 0.350 0.903 0.701
Tb 0.258 0.000 0.000
Pr 0.141 0.055 0.282
Pr 0.948 0.793 0.402
Pr 0.859 0.945 0.718
Pr 0.453 0.793 0.402
Pm 0.650 0.097 0.299
Pr 0.052 0.207 0.598
Pm 0.249 0.490 0.497
CELL_PARAMETERS angstrom
-2.153 -6.859 -0.835
4.448 -2.291 7.356
-9.567 6.455 3.007
! energy relative to the elements: 126.5 meV per atom

! Tb3Pm2Pr4 GGA-PBE relaxed; values from VASP
&SYSTEM
  ibrav = 0, nat = 9, ntyp = 3
/
ATOMIC_SPECIES
Pm 145.00 Pm.upf
Pr 140.91 Pr.upf
Tb 158.93 Tb.upf
ATOMIC_POSITIONS crystal
Pm 0.221 0.443 0.666
Pr 0.114 0.226 0.334
Pr 0.332 0.666 0.000
Tb 0.000 0.000 0.000
Pr 0.886 0.774 0.666
Tb 0.445 0.888 0.334
Pm 0.779 0.557 0.334
Pr 0.668 0.334 0.000
Tb 0.555 0.112 0.666
CELL_PARAMETERS angstrom
6.249 -0.483 -0.760
-3.251 4.327 -3.261
-1.660 -0.626 13.022
! energy relative to the elements: 14.7 meV per atom

! TbPm9Pr2 GGA-PBE relaxed; values from VASP
&SYSTEM
  ibrav = 0, nat = 12, ntyp = 3
/
ATOMIC_SPECIES
Pr 140.91 Pr.upf
Pm 145.00 Pm.upf
Tb 158.93 Tb.upf
ATOMIC_POSITIONS crystal
Pr 0.000 0.000 0.668
Pm 0.000 0.500 0.835
Tb 0.000 0.000 0.000
Pm 0.500 0.500 0.668
Pm 0.500 0.000 0.165
Pm 0.000 0.500 0.165
Pm 0.000 0.500 0.500
Pm 0.500 0.000 0.835
Pr 0.000 0.000 0.332
Pm 0.500 0.500 0.000
Pm 0.500 0.000 0.500
Pm 0.500 0.500 0.332
CELL_PARAMETERS angstrom
5.163 0.000 0.000
0.000 5.163 0.000
0.000 0.000 15.492
! energy relative to the elements: 15.6 meV per atom

! Tb2Pm3Pr6 GGA-PBE relaxed; values from VASP
&SYSTEM
  ibrav = 0, nat = 11, ntyp = 3
/
ATOMIC_SPECIES
Pr 140.91 Pr.upf
Pm 145.00 Pm.upf
Tb 158.93 Tb.upf
ATOMIC_POSITIONS crystal
Pr 0.182 0.182 0.453
Pr 0.909 0.909 0.274
Pr 0.818 0.818 0.547
Pm 0.272 0.272 0.183
Pr 0.091 0.091 0.726
Pr 0.364 0.364 0.909
Tb 0.545 0.545 0.364
Tb 0.455 0.455 0.636
Pm 0.728 0.728 0.817
Pm 0.000 0.000 0.000
Pr 0.636 0.636 0.091
CELL_PARAMETERS angstrom
-0.287 0.790 3.572
-3.166 -0.586 1.760
8.687 -30.438 9.316
! energy relative to the elements: 11.7 meV per atom

For each record above, in turn, the calculated density of states at the Fermi level values are 5.857 8.316 28.665 13.007 19.437 14.632 states/eV per cell.